No. 1
A plane-wave DFT calculation with PBE-GGA was carried out for a geometry-optimized RbZnMo structure.

Results
Energy relative to the lowest polymorph listed for this composition in eV/atom: 0.265
DFT total energy in eV for the cell shown: -28.52

abc: 8.012 8.012 8.012
angles: 90.00 90.00 90.00
Space group F-43m (No. 216)
Inequivalent atoms, fractional coordinates:
Rb 0.000 0.000 0.000
Zn 0.250 0.250 0.250
Mo 0.250 0.250 0.750

No. 2
A plane-wave DFT calculation with PBE-GGA was carried out for a geometry-optimized ZrTlCoAg structure.

Results
Energy relative to the lowest polymorph listed for this composition in eV/atom: 0.000
DFT total energy in eV for the cell shown: -81.44

abc: 6.612 6.612 6.612
angles: 90.00 90.00 90.00
Space group F-43m (No. 216)
Inequivalent atoms, fractional coordinates:
Zr 0.000 0.000 0.000
Tl 0.000 0.000 0.500
Co 0.250 0.250 0.750
Ag 0.250 0.250 0.250

No. 3
A plane-wave DFT calculation with PBE-GGA was carried out for a geometry-optimized Hf2ZrNi2As4Pd2 structure.

Results
Energy relative to the lowest polymorph listed for this composition in eV/atom: 0.022
DFT total energy in eV for the cell shown: -77.12

abc: 6.516 3.873 7.458
angles: 90.00 90.18 90.00
Space group Pm (No. 6)
Inequivalent atoms, fractional coordinates:
Hf 0.000 0.000 0.000
Hf 0.492 0.000 0.857
Zr 0.933 0.500 0.376
Ni 0.086 0.000 0.629
Ni 0.603 0.000 0.233
As 0.221 0.500 0.774
As 0.228 0.000 0.328
As 0.680 0.000 0.543
As 0.705 0.500 0.069
Pd 0.310 0.500 0.119
Pd 0.822 0.500 0.747

No. 4
A plane-wave DFT calculation with PBE-GGA was carried out for a geometry-optimized MgBeRe2 structure.

Results
DFT total energy in eV for the cell shown: -119.22

abc: 6.036 6.036 6.036
angles: 90.00 90.00 90.00
Space group F-43m (No. 216)
Inequivalent atoms, fractional coordinates:
Mg 0.000 0.000 0.000
Be 0.250 0.250 0.750
Re 0.000 0.000 0.500
Re 0.250 0.250 0.250

Table of mass density (Mg/m³), in record order: 3.188; 10.626; 9.511; 12.253